Computed, not measured: an optimized crystal structure of KY3Cl at the PBE level of DFT.

abc: 5.457 5.457 5.457
angles: 90.00 90.00 90.00
Fractional positions:
K1 0.500 0.500 0.500
Y1 0.000 0.000 0.500
Y2 0.000 0.500 0.000
Y3 0.500 0.000 0.000
Cl1 0.000 0.000 0.000

Values from the calculation:
ΔE to the lowest computed polymorph = 0.000 eV per atom
SG = No. 221

***

Computed, not measured: an optimized crystal structure of LaCe4Ga2 at the PBE level of DFT.

abc: 4.334 4.403 9.705
angles: 90.00 102.93 90.00
Fractional positions:
Ce1 0.185 0.500 0.370
Ce2 0.323 0.000 0.645
Ce3 0.677 0.000 0.355
Ce4 0.815 0.500 0.630
Ga1 0.433 0.500 0.867
Ga2 0.567 0.500 0.133
La1 0.000 0.000 0.000

Values from the calculation:
SG = No. 65
E_form = -0.253 eV per atom

***

Computed, not measured: an optimized crystal structure of Ac4HRhI2 at the PBE level of DFT.

abc: 4.279 7.305 8.955
angles: 105.56 90.00 90.00
Fractional positions:
Ac1 0.000 0.258 0.819
Ac2 0.000 0.742 0.181
Ac3 0.500 0.770 0.808
Ac4 0.500 0.230 0.192
I1 0.000 0.500 0.500
I2 0.500 0.000 0.500
H1 0.000 0.000 0.000
Rh1 0.500 0.500 0.000

Values from the calculation:
SG = No. 10
Total DFT energy (no corrections) = -4.556 eV per atom

***

Computed, not measured: an optimized crystal structure of K2PS at the PBE level of DFT.

abc: 11.818 11.818 8.691
angles: 47.17 47.17 90.00
Fractional positions:
P1 0.250 0.750 0.500
P2 0.500 0.500 0.000
K1 0.858 0.125 0.250
K2 0.375 0.142 0.750
K3 0.875 0.108 0.750
K4 0.892 0.625 0.250
S1 0.000 0.000 0.000
S2 0.750 0.250 0.500

Values from the calculation:
ΔE to the lowest computed polymorph = 0.000 eV per atom
SG = No. 122

***

Computed, not measured: an optimized crystal structure of PuCuSe at the PBE level of DFT.

abc: 4.305 3.777 8.241
angles: 76.75 90.00 90.00
Site moments in Bohr magnetons follow the coordinates.
Fractional positions:
Cu1 0.250 0.529 0.942  -0.02
Cu2 0.750 0.471 0.058  -0.02
Se1 0.750 0.320 0.360  -0.12
Se2 0.250 0.680 0.640  -0.12
Pu1 0.250 0.869 0.262  5.27
Pu2 0.750 0.131 0.738  5.27

Values from the calculation:
SG = No. 63
Total DFT energy (no corrections) = -8.019 eV per atom

***

Computed, not measured: an optimized crystal structure of Mn2CoP at the PBE level of DFT.

abc: 3.492 3.496 3.610
angles: 90.00 90.00 90.00
Site moments in Bohr magnetons follow the coordinates.
Fractional positions:
Co1 0.000 0.500 0.500  0.10
Mn1 0.000 0.000 0.000  2.00
Mn2 0.500 0.500 0.000  2.00
P1 0.500 0.000 0.500  -0.08

Values from the calculation:
SG = No. 123
E_form = -0.230 eV per atom

***

Computed, not measured: an optimized crystal structure of TbHo2S at the PBE level of DFT.

abc: 3.710 3.710 9.429
angles: 78.65 78.65 60.00
Site moments in Bohr magnetons follow the coordinates.
Fractional positions:
Ho1 0.061 0.061 0.817  0.10
Ho2 0.272 0.272 0.183  0.07
Tb1 0.500 0.500 0.501  0.30
S1 0.667 0.667 0.000  0.00

Values from the calculation:
ΔE to the lowest computed polymorph = 0.000 eV per atom
SG = No. 160

***

Computed, not measured: an optimized crystal structure of CoTc at the PBE level of DFT.

abc: 2.631 2.631 7.297
angles: 90.00 90.00 90.00
Site moments in Bohr magnetons follow the coordinates.
Fractional positions:
Co1 0.750 0.750 0.884  0.89
Co2 0.250 0.250 0.116  0.89
Tc1 0.750 0.750 0.352  -0.09
Tc2 0.250 0.250 0.648  -0.09

Values from the calculation:
ΔE to the lowest computed polymorph = 0.144 eV per atom
SG = No. 129
E_form = 0.097 eV per atom